[1]
RbZnP2Pt4 | PBE | relaxed

crystal system	tetragonal
density of states at the Fermi level	3.86	states/eV/cell

a b c (Å): 4.0259 4.0259 10.0925
angles (deg): 90.00 90.00 90.00
Last column: nearest neighbours and their distance in Å.
Space group P4/mmm (No. 123)
One atom of each set of equivalent atoms:
Rb: 0.0000 0.0000 0.0000 x1  8 P 3.56, 8 Pt 3.89
Zn: 0.0000 0.0000 0.5000 x1  8 Pt 2.64
P: 0.5000 0.5000 0.2121 x2  4 Pt 2.34
Pt: 0.0000 0.5000 0.3302 x4  2 P 2.34



[2]
Pr6InP2Se3 | PBE | relaxed

crystal system	monoclinic
formation energy (no corrections)	-1.511	eV/atom
density of states at the Fermi level	7.97	states/eV/cell

a b c (Å): 18.7863 4.2435 8.7137
angles (deg): 90.00 103.56 90.00
Last column: nearest neighbours and their distance in Å.
Space group C2/m (No. 12)
One atom of each set of equivalent atoms:
Pr: 0.0049 0.0000 0.2641 x4  3 Se 2.97-3.11, 1 P 2.99, 2 In 3.12
Pr: 0.1710 0.5000 0.0998 x4  2 P 2.96, 3 Se 2.99-3.14, 1 In 3.13
Pr: 0.1715 0.5000 0.5724 x4  3 P 2.92-2.95, 3 Se 3.12-3.14
In: 0.0000 0.5000 0.0000 x2  6 Pr 3.12-3.13
P: 0.1685 0.0000 0.3360 x4  6 Pr 2.92-2.99
Se: 0.0000 0.5000 0.5000 x2  6 Pr 2.97-3.14
Se: 0.1655 0.0000 0.8312 x4  6 Pr 2.99-3.14



[3]
Ca2LaAsRh | PBE | relaxed

crystal system	tetragonal
density of states at the Fermi level	4.53	states/eV/cell

a b c (Å): 5.3487 5.3487 5.7761
angles (deg): 90.00 90.00 90.00
Last column: nearest neighbours and their distance in Å.
Space group P4/mmm (No. 123)
One atom of each set of equivalent atoms:
Ca: 0.0000 0.5000 0.0000 x2  2 As 2.67
La: 0.0000 0.0000 0.5000 x1  2 As 2.89
As: 0.0000 0.0000 0.0000 x1  4 Ca 2.67, 2 La 2.89
Rh: 0.5000 0.5000 0.5000 x1  4 La 3.78, 8 Ca 3.94



[4]
GeRuO2 | PBE | relaxed

crystal system	tetragonal
formation energy (no corrections)	-0.181	eV/atom
density of states at the Fermi level	4.28	states/eV/cell

a b c (Å): 5.0814 5.0814 8.9523
angles (deg): 90.00 90.00 90.00
Last column: nearest neighbours and their distance in Å.
Space group I-42d (No. 122)
One atom of each set of equivalent atoms:
Ge: 0.0000 0.0000 0.0000 x4  4 O 2.22
Ru: 0.0000 0.0000 0.5000 x4  4 O 2.02
O: 0.2182 0.2500 0.6250 x8  2 Ru 2.02, 2 Ge 2.22



Table of uncorrected energy (eV/cell), in record order: -41.3 -141.6 -21.7 -98.1